Entry 1:
Below is Ca3BeW after structural relaxation, with properties calculated at the PBE level.

Lattice parameters (Å, degrees): 5.506 5.506 5.506 90.00 90.00 90.00
Sites, in units of the cell vectors:
1 Ca 0.000 0.000 0.500
2 Ca 0.000 0.500 0.000
3 Ca 0.500 0.000 0.000
4 Be 0.500 0.500 0.500
5 W 0.000 0.000 0.000

## Properties
SG	Pm-3m, No. 221

***

Entry 2:
Below is Ca4BeW after structural relaxation, with properties calculated at the PBE level.

Lattice parameters (Å, degrees): 6.247 6.247 6.247 60.00 60.00 60.00
Sites, in units of the cell vectors:
1 Ca 0.125 0.125 0.125
2 Ca 0.125 0.125 0.626
3 Ca 0.125 0.626 0.125
4 Ca 0.626 0.125 0.125
5 Be 0.500 0.500 0.500
6 W 0.750 0.750 0.750

## Properties
SG	F-43m, No. 216

***

| no. | mass density (g/cm³) | formation enthalpy at 0 K (meV per atom) |
| --- | --- | --- |
| 1 | 3.1 | 1419 |
| 2 | 3.4 | 1394 |